[1]
{"formula": "Tm2TePt", "functional": "PBE", "state": "optimized geometry", "sg": "No. 160", "e_form_raw_ev_per_atom": -1.278, "e_above_lowest_polymorph_mev_per_atom": 0, "lattice_angstrom": [[4.154, 0.000, 0.000], [-2.077, 3.597, 0.000], [0.000, 0.000, 21.365]], "species": ["Tm", "Tm", "Tm", "Tm", "Tm", "Tm", "Te", "Te", "Te", "Pt", "Pt", "Pt"], "fractional_positions": [[0.000, 0.000, 0.000], [0.000, 0.000, 0.196], [0.333, 0.667, 0.667], [0.333, 0.667, 0.863], [0.667, 0.333, 0.333], [0.667, 0.333, 0.530], [0.000, 0.000, 0.765], [0.333, 0.667, 0.432], [0.667, 0.333, 0.099], [0.000, 0.000, 0.599], [0.333, 0.667, 0.266], [0.667, 0.333, 0.932]]}

[2]
{"formula": "Rb4Np3Te8Au", "functional": "PBE", "state": "optimized geometry", "sg": "No. 12", "e_form_raw_ev_per_atom": -0.734, "lattice_angstrom": [[8.095, -4.452, 0.000], [8.095, 4.452, 0.000], [-5.344, 0.000, 8.482]], "species": ["Rb", "Rb", "Rb", "Rb", "Np", "Np", "Np", "Te", "Te", "Te", "Te", "Te", "Te", "Te", "Te", "Au"], "fractional_positions": [[0.000, 0.000, 0.000], [0.000, 0.500, 0.000], [0.500, 0.000, 0.000], [0.500, 0.500, 0.000], [0.000, 0.000, 0.500], [0.000, 0.500, 0.500], [0.500, 0.000, 0.500], [0.231, 0.231, 0.701], [0.244, 0.715, 0.684], [0.250, 0.250, 0.291], [0.285, 0.756, 0.316], [0.715, 0.244, 0.684], [0.750, 0.750, 0.709], [0.756, 0.285, 0.316], [0.769, 0.769, 0.299], [0.500, 0.500, 0.500]]}

[3]
{"formula": "Li2SmEu", "functional": "PBE", "state": "optimized geometry", "sg": "No. 123", "ef_mev_per_atom": 127.2, "e_above_lowest_polymorph_mev_per_atom": 0, "lattice_angstrom": [[3.852, 0.000, 0.000], [0.000, 3.852, 0.000], [0.000, 0.000, 7.981]], "species": ["Li", "Li", "Sm", "Eu"], "fractional_positions": [[0.000, 0.000, 0.233], [0.000, 0.000, 0.767], [0.500, 0.500, 0.000], [0.500, 0.500, 0.500]]}

[4]
{"formula": "AlHgOs2", "functional": "PBE", "state": "optimized geometry", "sg": "No. 10", "ef_mev_per_atom": 434.0, "e_above_lowest_polymorph_mev_per_atom": 234, "lattice_angstrom": [[2.887, 0.000, 0.000], [0.000, 4.119, 0.000], [-1.106, 0.000, 5.396]], "species": ["Al", "Hg", "Os", "Os"], "fractional_positions": [[0.000, 0.000, 0.000], [0.000, 0.000, 0.500], [0.365, 0.500, 0.212], [0.635, 0.500, 0.788]]}

[5]
{"formula": "Ca2HfCuRu", "functional": "PBE", "state": "optimized geometry", "sg": "No. 123", "ef_mev_per_atom": 957.1, "lattice_angstrom": [[5.176, 0.000, 0.000], [0.000, 5.176, 0.000], [0.000, 0.000, 4.818]], "species": ["Ca", "Ca", "Hf", "Cu", "Ru"], "fractional_positions": [[0.000, 0.500, 0.000], [0.500, 0.000, 0.000], [0.000, 0.000, 0.500], [0.500, 0.500, 0.500], [0.500, 0.500, 0.000]]}

[6]
{"formula": "LaBe5Cu7", "functional": "PBE", "state": "optimized geometry", "sg": "No. 44", "ef_mev_per_atom": -61.2, "lattice_angstrom": [[-2.272, 4.185, 4.170], [2.272, -4.185, 4.170], [2.272, 4.185, -4.170]], "species": ["La", "Be", "Be", "Be", "Be", "Be", "Cu", "Cu", "Cu", "Cu", "Cu", "Cu", "Cu"], "fractional_positions": [[0.000, 0.000, 0.000], [0.499, 0.495, 0.507], [0.499, 0.993, 0.004], [0.747, 0.247, 0.500], [0.989, 0.495, 0.996], [0.989, 0.993, 0.493], [0.218, 0.491, 0.727], [0.230, 0.730, 0.500], [0.353, 0.353, 0.000], [0.354, 0.000, 0.354], [0.646, 0.000, 0.646], [0.650, 0.650, 0.000], [0.764, 0.491, 0.273]]}

[7]
{"formula": "Mg2PbW", "functional": "PBE", "state": "optimized geometry", "sg": "No. 12", "ef_mev_per_atom": 591.7, "lattice_angstrom": [[10.653, 0.000, 0.000], [0.000, 2.995, 0.000], [-0.701, 0.000, 5.143]], "species": ["Mg", "Mg", "Mg", "Mg", "Pb", "Pb", "W", "W"], "fractional_positions": [[0.237, 0.000, 0.231], [0.263, 0.500, 0.769], [0.737, 0.500, 0.231], [0.763, 0.000, 0.769], [0.000, 0.000, 0.500], [0.500, 0.500, 0.500], [0.000, 0.500, 0.000], [0.500, 0.000, 0.000]]}

[8]
{"formula": "ThTi2Pd", "functional": "PBE", "state": "optimized geometry", "sg": "No. 123", "ef_mev_per_atom": -139.1, "lattice_angstrom": [[3.304, 0.000, 0.000], [0.000, 3.304, 0.000], [0.000, 0.000, 7.359]], "species": ["Th", "Ti", "Ti", "Pd"], "fractional_positions": [[0.000, 0.000, 0.000], [0.500, 0.500, 0.298], [0.500, 0.500, 0.702], [0.000, 0.000, 0.500]]}

[9]
{"formula": "Mg2ZrTa", "functional": "PBE", "state": "optimized geometry", "sg": "No. 47", "ef_mev_per_atom": 242.7, "e_above_lowest_polymorph_mev_per_atom": 148, "lattice_angstrom": [[3.396, 0.000, 0.000], [0.000, 4.642, 0.000], [0.000, 0.000, 5.218]], "species": ["Mg", "Mg", "Zr", "Ta"], "fractional_positions": [[0.000, 0.000, 0.000], [0.500, 0.500, 0.000], [0.000, 0.500, 0.500], [0.500, 0.000, 0.500]]}

[10]
{"formula": "Fe2CoIrN", "functional": "PBE", "state": "optimized geometry", "sg": "No. 123", "e_form_raw_ev_per_atom": 0.005, "lattice_angstrom": [[3.842, 0.000, 0.000], [0.000, 3.842, 0.000], [0.000, 0.000, 3.760]], "species": ["Fe", "Fe", "Co", "Ir", "N"], "fractional_positions": [[0.000, 0.500, 0.000], [0.500, 0.000, 0.000], [0.000, 0.000, 0.500], [0.500, 0.500, 0.500], [0.000, 0.000, 0.000]]}

[11]
{"formula": "Ac2IO7", "functional": "PBE", "state": "optimized geometry", "sg": "No. 15", "e_form_raw_ev_per_atom": -1.657, "lattice_angstrom": [[6.365, -3.256, 0.000], [6.365, 3.256, 0.000], [-5.721, 0.000, 7.155]], "species": ["Ac", "Ac", "Ac", "Ac", "I", "I", "O", "O", "O", "O", "O", "O", "O", "O", "O", "O", "O", "O", "O", "O"], "fractional_positions": [[0.013, 0.286, 0.229], [0.286, 0.013, 0.729], [0.714, 0.987, 0.271], [0.987, 0.714, 0.771], [0.303, 0.697, 0.250], [0.697, 0.303, 0.750], [0.056, 0.113, 0.923], [0.113, 0.056, 0.423], [0.153, 0.608, 0.305], [0.258, 0.459, 0.996], [0.392, 0.608, 0.750], [0.392, 0.847, 0.195], [0.459, 0.258, 0.496], [0.541, 0.742, 0.504], [0.608, 0.153, 0.805], [0.608, 0.392, 0.250], [0.742, 0.541, 0.004], [0.847, 0.392, 0.695], [0.887, 0.944, 0.577], [0.944, 0.887, 0.077]]}

[12]
{"formula": "Sc3GaN", "functional": "PBE", "state": "optimized geometry", "sg": "No. 11", "e_form_raw_ev_per_atom": -0.864, "lattice_angstrom": [[5.204, 0.000, 0.000], [0.000, 6.040, 0.000], [-0.508, 0.000, 5.852]], "species": ["Sc", "Sc", "Sc", "Sc", "Sc", "Sc", "Ga", "Ga", "N", "N"], "fractional_positions": [[0.219, 0.250, 0.130], [0.247, 0.001, 0.641], [0.247, 0.499, 0.641], [0.753, 0.501, 0.359], [0.753, 0.999, 0.359], [0.781, 0.750, 0.870], [0.294, 0.750, 0.139], [0.706, 0.250, 0.861], [0.043, 0.250, 0.430], [0.957, 0.750, 0.570]]}

| no. | volume (Å³/f.u.) | total magnetic moment (μB/cell) |
| --- | --- | --- |
| 1 | 106.4 | 0.00 |
| 2 | 611.4 | 10.31 |
| 3 | 118.4 | 7.74 |
| 4 | 64.1 | 0.00 |
| 5 | 129.1 | 0.00 |
| 6 | 158.6 | 0.00 |
| 7 | 82.1 | 0.00 |
| 8 | 80.3 | 0.00 |
| 9 | 82.2 | 0.00 |
| 10 | 55.5 | 7.05 |
| 11 | 148.3 | 2.02 |
| 12 | 92.0 | 0.60 |